The following is a DFT calculation (PBE) of crystalline AlCu2Cl at its relaxed geometry.

Calculated values
ΔE to the lowest computed polymorph = 36.7 kJ/mol of atoms
D(E_F) = 1.36 states/eV per cell
V = 67.2 Å³/cell
Formation energy from raw total energies = 192.7 meV per atom
Magnetic moment = 0.00 μB/f.u.

Structure (extended XYZ):
```
4
Lattice="-1.7537 1.7537 5.4653 1.7537 -1.7537 5.4653 1.7537 1.7537 -5.4653" Properties=species:S:1:pos:R:3 pbc="T T T"
Al 0.0000 0.0000 0.0000
Cu 0.0000 0.0000 5.4653
Cu 0.0000 1.7537 2.7326
Cl 1.7537 0.0000 2.7326
```